# Pm3TlTe PBE relaxed
# Energy above the most stable polymorph in this dataset = 0 meV per atom
# DFT total energy = -4.650 eV per atom
# Energy relative to the elements, uncorrected = -0.698 eV per atom
data_Pm3TlTe
_chemical_formula_sum 'Pm12 Tl4 Te4'
_cell_length_a 8.3804
_cell_length_b 4.5896
_cell_length_c 16.6933
_cell_angle_alpha 90.00
_cell_angle_beta 90.00
_cell_angle_gamma 90.00
_symmetry_space_group_name_H-M 'P n m a'
_symmetry_Int_Tables_number 62
loop_
_symmetry_equiv_pos_as_xyz
'x,y,z'
'-x,-y,-z'
'-x+1/2,-y,z+1/2'
'x+1/2,y,-z+1/2'
'x+1/2,-y+1/2,-z+1/2'
'-x+1/2,y+1/2,z+1/2'
'-x,y+1/2,-z'
'x,-y+1/2,z'
loop_
_atom_site_label
_atom_site_type_symbol
_atom_site_fract_x
_atom_site_fract_y
_atom_site_fract_z
_atom_site_occupancy
Pm1 Pm 0.0120 0.2500 0.1092 1
Pm2 Pm 0.1307 0.2500 0.5559 1
Pm3 Pm 0.1848 0.7500 0.2645 1
Tl1 Tl 0.0866 0.7500 0.6937 1
Te1 Te 0.2195 0.2500 0.9494 1